1.
ReMo2Br: optimized geometry, PBE.

Properties
Fermi-level density of states ... 1.2700 states/eV per atom
E above lowest polymorph ... 745 meV/atom
ΔE_f (raw) ... 111.1 kJ/mol of atoms
Space-group type ... I-4m2 (119)
Magnetization ... 0.00 μB per cell
Uncorrected energy ... -7.795 eV/atom

Lattice parameters (Å, degrees): 5.271 5.271 5.271 137.83 137.83 61.16
Fractional coordinates of all 4 atoms:
1 Re 0.000 0.000 0.000
2 Mo 0.500 0.500 0.000
3 Mo 0.750 0.250 0.500
4 Br 0.250 0.750 0.500

2.
ReMo2Br: optimized geometry, PBE.

Properties
Fermi-level density of states ... 0.7744 states/eV per atom
E above lowest polymorph ... 356 meV/atom
ΔE_f (raw) ... 73.5 kJ/mol of atoms
Space-group type ... Imm2 (44)
Magnetization ... 0.00 μB per cell
Uncorrected energy ... -8.184 eV/atom

Lattice parameters (Å, degrees): 5.412 5.412 5.412 147.91 130.10 60.57
Fractional coordinates of all 4 atoms:
1 Re 0.000 0.000 0.000
2 Mo 0.471 0.471 0.000
3 Mo 0.755 0.255 0.500
4 Br 0.241 0.741 0.500

> The highest ΔE_f (raw) belongs to which entry?

number 1